No. 1
Entry from Alexandria via LeMat-Bulk: a relaxed structure of HgB2Mo2 (PBE).

abc: 4.0689 4.0689 8.4330
angles: 90.00 90.00 90.00
Space group I4/mmm (No. 139)
Unique sites:
Hg 0.0000 0.0000 0.0000 x2
B 0.0000 0.5000 0.2500 x4
Mo 0.0000 0.0000 0.3403 x4

E_tot, eV per atom: -6.590
Calculated formation energy, eV/f.u.: 2.37
N(E_F), states/eV/cell: 4.6
Energy above the lowest structure with this stoichiometry, kJ per mole of atoms: 0.00
Total magnetic moment, μB per atom: 0.0000

No. 2
Entry from Alexandria via LeMat-Bulk: a relaxed structure of NaSr3Hg (PBE).

abc: 17.9388 5.1584 11.6817
angles: 90.00 125.20 90.00
Space group C2/m (No. 12)
Unique sites:
Na 0.0711 0.0000 0.4392 x4
Sr 0.0920 0.0000 0.9525 x4
Sr 0.1401 0.5000 0.7201 x4
Sr 0.1613 0.5000 0.2965 x4
Hg 0.2334 0.5000 0.0825 x4

E_tot, eV per atom: -1.510
Calculated formation energy, eV/f.u.: -0.89
N(E_F), states/eV/cell: 18.9
Energy above the lowest structure with this stoichiometry, kJ per mole of atoms: 0.00
Total magnetic moment, μB per atom: 0.0000

No. 3
Entry from Alexandria via LeMat-Bulk: a relaxed structure of K2Tc (PBE).

abc: 8.2894 8.2894 8.2894
angles: 90.00 90.00 90.00
Space group Fm-3m (No. 225)
Unique sites:
K 0.2500 0.2500 0.2500 x8
Tc 0.0000 0.0000 0.0000 x4

E_tot, eV per atom: -2.541
Calculated formation energy, eV/f.u.: 4.94
N(E_F), states/eV/cell: 25.8
Energy above the lowest structure with this stoichiometry, kJ per mole of atoms: 96.41
Total magnetic moment, μB per atom: 1.1011

No. 4
Entry from Alexandria via LeMat-Bulk: a relaxed structure of MgTlGe (PBE).

abc: 4.3018 10.5970 3.2006
angles: 90.00 90.00 90.00
Space group Pmn2_1 (No. 31)
Unique sites:
Mg 0.0000 0.0885 0.0000 x2
Tl 0.0000 0.3864 0.4956 x2
Ge 0.0000 0.8206 0.0012 x2

E_tot, eV per atom: -2.863
Calculated formation energy, eV/f.u.: -0.01
N(E_F), states/eV/cell: 2.2
Energy above the lowest structure with this stoichiometry, kJ per mole of atoms: 0.92
Total magnetic moment, μB per atom: 0.0000

No. 5
Entry from Alexandria via LeMat-Bulk: a relaxed structure of K3CePa2Te6 (PBE).

abc: 7.7785 13.4735 8.8057
angles: 90.00 107.14 90.00
Space group C2/m (No. 12)
Unique sites:
K 0.0000 0.0000 0.0000 x2
K 0.0000 0.3357 0.0000 x4
Ce 0.0000 0.5000 0.5000 x2
Pa 0.0000 0.1669 0.5000 x4
Te 0.2309 0.0000 0.7151 x4
Te 0.2423 0.3296 0.7156 x8

ΔE_f (raw), meV/atom: -1057
E_tot, eV per atom: -4.979
N(E_F), states/eV/cell: 41.8
Total magnetic moment, μB per atom: 0.4172

No. 6
Entry from Alexandria via LeMat-Bulk: a relaxed structure of Ca3CuGe3 (PBE).

abc: 10.6853 4.4331 14.3341
angles: 90.00 110.83 90.00
Space group C2/m (No. 12)
Unique sites:
Ca 0.0422 0.0000 0.3848 x4
Ca 0.0986 0.0000 0.9204 x4
Ca 0.2478 0.0000 0.2304 x4
Cu 0.2493 0.0000 0.6037 x4
Ge 0.0442 0.5000 0.2348 x4
Ge 0.1104 0.5000 0.0763 x4
Ge 0.1317 0.5000 0.5423 x4

E_tot, eV per atom: -4.012
Calculated formation energy, eV/f.u.: -4.13
N(E_F), states/eV/cell: 8.0
Total magnetic moment, μB per atom: 0.0000

No. 7
Entry from Alexandria via LeMat-Bulk: a relaxed structure of U2PtRh5 (PBE).

abc: 5.6847 11.3735 4.0696
angles: 90.00 90.00 90.00
Space group Pbam (No. 55)
Unique sites:
U 0.2372 0.1285 0.0000 x4
Pt 0.0000 0.5000 0.5000 x2
Rh 0.0000 0.0000 0.5000 x2
Rh 0.0100 0.7492 0.5000 x4
Rh 0.2446 0.3757 0.0000 x4

E_tot, eV per atom: -8.879
Calculated formation energy, eV/f.u.: -5.65
N(E_F), states/eV/cell: 18.1
Total magnetic moment, μB per atom: 0.0000

No. 8
Entry from Alexandria via LeMat-Bulk: a relaxed structure of LaEuLuTl (PBE).

abc: 7.9863 7.9863 7.9863
angles: 90.00 90.00 90.00
Space group F-43m (No. 216)
Unique sites:
La 0.0000 0.0000 0.0000 x4
Eu 0.0000 0.0000 0.5000 x4
Lu 0.2500 0.2500 0.7500 x4
Tl 0.2500 0.2500 0.2500 x4

E_tot, eV per atom: -5.598
Calculated formation energy, eV/f.u.: -0.30
N(E_F), states/eV/cell: 17.1
Total magnetic moment, μB per atom: 1.9169